[1]
# NiAgAu2

A PBEsol-optimized structure of NiAgAu2 (meta-GGA SCAN, Alexandria via LeMat-Bulk).

Summary:
- volume (Å³/cell) = 61.2
- energy of formation (eV per atom) = 0.104
- polymorph energy (0 for the lowest one) (eV/atom) = 0.095

Cell: 5.4023 5.4023 5.4023 Å, 149.70 129.18 60.32°
Sites, in units of the cell vectors:
Ni (0.0000, 0.0000, 0.0000)
Ag (0.2359, 0.7359, 0.5000)
Au (0.5034, 0.5034, 0.0000)
Au (0.7701, 0.2701, 0.5000)

---

[2]
# LiMg

A PBEsol-optimized structure of LiMg (meta-GGA SCAN, Alexandria via LeMat-Bulk).

Summary:
- volume (Å³/cell) = 41.5
- energy of formation (eV per atom) = -0.036

Cell: 3.1006 3.1006 4.9847 Å, 90.00 90.00 120.00°
Sites, in units of the cell vectors:
Li (0.0000, 0.0000, 0.0000)
Mg (0.3333, 0.6667, 0.5000)

---

[3]
# Li2TaFe

A PBEsol-optimized structure of Li2TaFe (meta-GGA SCAN, Alexandria via LeMat-Bulk).

Summary:
- volume (Å³/cell) = 56.9
- energy of formation (eV per atom) = 0.384
- polymorph energy (0 for the lowest one) (eV/atom) = 0.123

Cell: 5.5083 5.5083 2.7346 Å, 103.01 103.01 127.25°
Sites, in units of the cell vectors:
Li (0.0000, 0.5000, 0.0000)
Li (0.5000, 0.0000, 0.0000)
Ta (0.0000, 0.0000, 0.5000)
Fe (0.5000, 0.5000, 0.5000)